The following is a DFT calculation (PBE-GGA) of Li4ZnH6 after structural relaxation.

Cell lengths 5.301, 5.363, 9.241 Å; angles 75.31, 73.33, 60.39 degrees
Positions (direct):
H 0.012 0.580 0.440
H 0.443 0.114 0.965
Li 0.084 0.463 0.158
Li 0.272 0.751 0.298
H 0.477 0.614 0.465
H 0.244 0.330 0.711
H 0.002 0.151 0.265
Li 0.680 0.251 0.798
H 0.582 0.651 0.765
H 0.968 0.080 0.940
Li 0.932 0.675 0.645
H 0.934 0.583 0.972
H 0.407 0.528 0.141
H 0.924 0.028 0.641
Li 0.779 0.227 0.462
Zn 0.684 0.785 0.396
Li 0.532 0.727 0.962
Zn 0.135 0.285 0.896
Li 0.295 0.963 0.658
H 0.715 0.830 0.211
Li 0.748 0.175 0.145
H 0.511 0.083 0.472

Output
The value obtained for the total energy is -64.15 eV for the cell shown. Its theoretical density is 1.5 g/cm³.